DFT (PBE) results for crystalline TaInCu2 at its relaxed geometry.

```
TaInCu2
1.0
-4.274 -1.954 1.390
-2.226 -1.897 -3.932
4.545 -0.570 1.743
In Cu Ta
1 2 1
Direct
0.500 0.500 0.000
0.000 0.000 0.000
0.250 0.750 0.500
0.750 0.250 0.500
```

Values from the calculation:
formation energy from the elements = 387 meV per atom

=====

DFT (PBE) results for crystalline Ac4Pb2Cl at its relaxed geometry.

```
Ac4Pb2Cl
1.0
5.565 0.000 0.000
0.000 5.565 0.000
-2.782 -2.782 8.878
Ac Pb Cl
4 2 1
Direct
0.000 0.500 0.000
0.823 0.823 0.646
0.500 0.000 0.000
0.177 0.177 0.354
0.632 0.632 0.265
0.368 0.368 0.735
0.000 0.000 0.000
```

Values from the calculation:
formation energy from raw total energies = -0.5665 eV per atom

=====

DFT (PBE) results for crystalline MnAg2Mo at its relaxed geometry.

```
MnAg2Mo
1.0
5.290 0.004 0.000
2.280 4.773 0.000
-3.154 -3.388 2.561
Mn Mo Ag
1 1 2
Direct
0.473 0.473 0.000
0.291 0.791 0.500
0.007 0.007 0.000
0.729 0.229 0.500
```

Values from the calculation:
formation energy from the elements = 524 meV per atom
energy relative to the lowest polymorph listed for this composition = 227.6 meV/atom

=====

DFT (PBE) results for crystalline TlCl3 at its relaxed geometry.

```
TlCl3
1.0
-3.908 -3.464 -0.583
5.038 -1.469 -0.266
0.014 -0.902 5.258
Cl Tl
3 1
Direct
0.500 0.500 0.000
0.000 0.500 0.500
0.500 0.000 0.500
0.000 0.000 0.000
```

Values from the calculation:
formation energy from raw total energies = -0.3644 eV per atom

=====

DFT (PBE) results for crystalline MgPbAu2 at its relaxed geometry.

```
MgPbAu2
1.0
4.432 0.000 0.000
2.216 3.838 0.000
2.216 1.279 5.475
Mg Au Pb
1 2 1
Direct
0.676 0.676 0.971
0.059 0.059 0.823
0.274 0.274 0.178
0.491 0.491 0.528
```

Values from the calculation:
formation energy from the elements = -197 meV per atom

=====

DFT (PBE) results for crystalline LaGa6Pd12 at its relaxed geometry.

```
LaGa6Pd12
1.0
7.236 -0.096 -0.136
-1.887 6.986 -0.136
-1.887 -2.430 6.551
Pd Ga La
12 6 1
Direct
0.121 0.879 0.500
0.588 0.837 0.588
0.412 0.163 0.412
0.412 0.412 0.163
0.163 0.412 0.412
0.879 0.500 0.121
0.500 0.879 0.121
0.500 0.121 0.879
0.121 0.500 0.879
0.879 0.121 0.500
0.837 0.588 0.588
0.588 0.588 0.837
0.297 0.736 0.736
0.264 0.264 0.703
0.264 0.703 0.264
0.736 0.736 0.297
0.703 0.264 0.264
0.736 0.297 0.736
0.000 0.000 0.000
```

Values from the calculation:
formation energy from the elements = -604 meV per atom

=====

DFT (PBE) results for crystalline CaNdSn at its relaxed geometry.

```
CaNdSn
1.0
-4.203 3.237 0.215
-2.425 1.504 -4.478
-4.841 -1.855 -1.150
Nd Sn Ca
1 1 1
Direct
0.000 0.000 0.000
0.250 0.250 0.250
0.500 0.500 0.500
```

Values from the calculation:
formation energy from the elements = -491 meV per atom

=====

DFT (PBE) results for crystalline Bi2BS at its relaxed geometry.

```
Bi2BS
1.0
-6.002 1.713 -2.050
-1.634 -6.342 -0.517
-5.404 -2.286 3.382
Bi S B
4 2 2
Direct
0.875 0.820 0.750
0.180 0.625 0.250
0.570 0.125 0.250
0.375 0.430 0.750
0.750 0.250 0.500
0.000 0.000 0.000
0.250 0.750 0.500
0.500 0.500 0.000
```

Values from the calculation:
energy relative to the lowest polymorph listed for this composition = 0.0 meV/atom
formation energy from raw total energies = 0.6025 eV per atom

=====

DFT (PBE) results for crystalline ZrSc2Mn at its relaxed geometry.

```
ZrSc2Mn
1.0
9.019 1.430 4.527
10.004 1.039 1.649
9.090 3.810 2.594
Zr Sc Mn
1 2 1
Direct
0.000 0.000 0.000
0.897 0.897 0.897
0.103 0.103 0.103
0.500 0.500 0.500
```

Values from the calculation:
formation energy from the elements = 362 meV per atom
energy relative to the lowest polymorph listed for this composition = 330.9 meV/atom

=====

DFT (PBE) results for crystalline Cs2YBBr6 at its relaxed geometry.

```
Cs2YBBr6
1.0
-4.245 -4.248 -5.168
-0.225 -6.026 5.138
-6.964 -3.086 2.184
B Y Br Cs
1 1 6 2
Direct
0.500 0.500 0.000
0.000 0.000 0.000
0.251 0.749 0.000
0.749 0.749 0.000
0.749 0.251 0.000
0.251 0.251 0.498
0.749 0.749 0.502
0.251 0.251 0.000
0.250 0.750 0.500
0.750 0.250 0.500
```

Values from the calculation:
formation energy from raw total energies = -1.1732 eV per atom

=====

DFT (PBE) results for crystalline TlGaHRh2 at its relaxed geometry.

```
TlGaHRh2
1.0
4.841 0.000 0.000
0.000 3.318 0.000
0.000 0.000 4.841
Rh Tl H Ga
2 1 1 1
Direct
0.500 0.000 0.000
0.000 0.000 0.500
0.500 0.500 0.500
0.000 0.500 0.000
0.000 0.000 0.000
```

Values from the calculation:
uncorrected energy = -4.32 eV per atom

=====

DFT (PBE) results for crystalline Tb2Ga12Ag at its relaxed geometry.

```
Tb2Ga12Ag
1.0
6.238 0.000 0.000
0.000 6.238 0.000
0.000 0.000 15.200
Ag Ga Tb
2 24 4
Direct
0.500 0.000 0.000
0.000 0.500 0.000
0.166 0.666 0.570
0.166 0.334 0.430
0.000 0.000 0.187
0.500 0.500 0.347
0.750 0.750 0.906
0.250 0.750 0.906
0.334 0.834 0.430
0.834 0.334 0.570
0.500 0.500 0.653
0.500 0.500 0.813
0.666 0.834 0.570
0.334 0.166 0.570
0.750 0.750 0.094
0.666 0.166 0.430
0.500 0.500 0.187
0.750 0.250 0.906
0.000 0.000 0.653
0.250 0.750 0.094
0.250 0.250 0.906
0.750 0.250 0.094
0.250 0.250 0.094
0.000 0.000 0.347
0.000 0.000 0.813
0.834 0.666 0.430
0.500 0.000 0.247
0.000 0.500 0.247
0.000 0.500 0.753
0.500 0.000 0.753
```

Values from the calculation:
formation energy from the elements = -270 meV per atom

=====

DFT (PBE) results for crystalline GaRhN2 at its relaxed geometry.

```
GaRhN2
1.0
1.807 0.000 5.821
-0.904 1.565 5.821
-0.904 -1.565 5.821
Rh N Ga
1 2 1
Direct
0.500 0.500 0.500
0.893 0.893 0.893
0.107 0.107 0.107
0.000 0.000 0.000
```

Values from the calculation:
formation energy from raw total energies = 0.4973 eV per atom